(1)
VASP calculation (PBE) on a relaxed ZrHgPt crystal.

Cell and atoms, written as POSCAR:
```
ZrHgPt
1.0
6.0903 -1.7233 0.0000
6.0903 1.7233 0.0000
-2.8002 0.0000 7.0354
Zr Hg Pt
2 2 2
direct
0.1404 0.1404 0.0248
0.8596 0.8596 0.9752
0.0638 0.0638 0.3576
0.9362 0.9362 0.6424
0.2162 0.2162 0.7399
0.7838 0.7838 0.2601
```

Values from the calculation:
spin magnetization	0.0	μB/cell
calculated total energy	-5.1779	eV/atom
symmetry	C2/m (12)


(2)
VASP calculation (PBE) on a relaxed Zr3HgPt crystal.

Cell and atoms, written as POSCAR:
```
Zr3HgPt
1.0
5.1041 0.0000 0.0000
0.0000 5.1041 0.0000
0.0000 0.0000 5.1041
Zr Hg Pt
3 1 1
direct
0.0000 0.0000 0.5000
0.0000 0.5000 0.0000
0.5000 0.0000 0.0000
0.5000 0.5000 0.5000
0.0000 0.0000 0.0000
```

Values from the calculation:
spin magnetization	0.0	μB/cell
calculated total energy	-6.2459	eV/atom
symmetry	Pm-3m (221)


Repeat the second record exactly.
VASP calculation (PBE) on a relaxed Zr3HgPt crystal.

Cell and atoms, written as POSCAR:
```
Zr3HgPt
1.0
5.1041 0.0000 0.0000
0.0000 5.1041 0.0000
0.0000 0.0000 5.1041
Zr Hg Pt
3 1 1
direct
0.0000 0.0000 0.5000
0.0000 0.5000 0.0000
0.5000 0.0000 0.0000
0.5000 0.5000 0.5000
0.0000 0.0000 0.0000
```

Values from the calculation:
spin magnetization	0.0	μB/cell
calculated total energy	-6.2459	eV/atom
symmetry	Pm-3m (221)


Please write out number 2 again, unchanged.
VASP calculation (PBE) on a relaxed Zr3HgPt crystal.

Cell and atoms, written as POSCAR:
```
Zr3HgPt
1.0
5.1041 0.0000 0.0000
0.0000 5.1041 0.0000
0.0000 0.0000 5.1041
Zr Hg Pt
3 1 1
direct
0.0000 0.0000 0.5000
0.0000 0.5000 0.0000
0.5000 0.0000 0.0000
0.5000 0.5000 0.5000
0.0000 0.0000 0.0000
```

Values from the calculation:
spin magnetization	0.0	μB/cell
calculated total energy	-6.2459	eV/atom
symmetry	Pm-3m (221)